# MgInN3 (GGA-PBE, optimized geometry)
data_MgInN3
_chemical_formula_sum 'Mg1 In1 N3'
_space_group_name_H-M_alt 'P 1'
_space_group_IT_number 1
_cell_length_a 4.218
_cell_length_b 4.218
_cell_length_c 4.218
_cell_angle_alpha 90.00
_cell_angle_beta 90.00
_cell_angle_gamma 90.00
loop_
_space_group_symop_operation_xyz
'x,y,z'
loop_
_atom_site_label
_atom_site_fract_x
_atom_site_fract_y
_atom_site_fract_z
Mg1 0.000 0.000 0.000
In1 0.500 0.500 0.500
N1 0.000 0.500 0.500
N2 0.500 0.000 0.500
N3 0.500 0.500 0.000
# - SG: No. 221
# - Magnetization: 3.821 μB per formula unit
# - Energy relative to the elements, uncorrected: 1588.3 meV/atom